Record 1
This record from the Alexandria database describes a relaxed LaSnN2 crystal. The functional is PBE. Values from VASP.

Output
For the uncorrected formation energy, the calculation gives 0.14 eV per atom. As for the total moment: 0.00 μB/atom. The relative energy among the computed polymorphs comes out at 0.493 eV per atom. Its space group is Fm-3m (225).

The structure in Quantum ESPRESSO input format:
```
&SYSTEM
  ibrav = 0, nat = 4, ntyp = 3
/
ATOMIC_SPECIES
Sn 118.71 Sn.upf
N 14.01 N.upf
La 138.91 La.upf
ATOMIC_POSITIONS crystal
Sn 0.000 0.000 0.000
N 0.750 0.750 0.750
N 0.250 0.250 0.250
La 0.500 0.500 0.500
CELL_PARAMETERS angstrom
-1.900 -3.784 1.284
-3.867 0.084 2.149
-3.678 -1.421 -2.008
```

Record 2
This record from the Alexandria database describes a relaxed RbLi2Si2 crystal. The functional is PBE. Values from VASP.

Output
For the uncorrected formation energy, the calculation gives 0.11 eV per atom. As for the total moment: 0.00 μB/atom. The relative energy among the computed polymorphs comes out at 0.085 eV per atom. Its space group is P4/mbm (127).

The structure in Quantum ESPRESSO input format:
```
&SYSTEM
  ibrav = 0, nat = 10, ntyp = 3
/
ATOMIC_SPECIES
Li 6.94 Li.upf
Si 28.09 Si.upf
Rb 85.47 Rb.upf
ATOMIC_POSITIONS crystal
Li 0.335 0.165 0.500
Li 0.665 0.835 0.500
Li 0.165 0.665 0.500
Li 0.835 0.335 0.500
Si 0.101 0.399 0.000
Si 0.899 0.601 0.000
Si 0.601 0.101 0.000
Si 0.399 0.899 0.000
Rb 0.500 0.500 0.000
Rb 0.000 0.000 0.000
CELL_PARAMETERS angstrom
8.385 0.000 0.000
0.000 8.385 0.000
0.000 0.000 3.117
```

Record 3
This record from the Alexandria database describes a relaxed SbTeWI2 crystal. The functional is PBE. Values from VASP.

Output
For the uncorrected formation energy, the calculation gives 1.65 eV per atom. As for the total moment: 0.80 μB/atom. The relative energy among the computed polymorphs comes out at 0.932 eV per atom. Its space group is P4/mmm (123).

The structure in Quantum ESPRESSO input format:
```
&SYSTEM
  ibrav = 0, nat = 5, ntyp = 4
/
ATOMIC_SPECIES
I 126.90 I.upf
W 183.84 W.upf
Sb 121.76 Sb.upf
Te 127.60 Te.upf
ATOMIC_POSITIONS crystal
I 0.500 0.000 0.000
I 0.000 0.500 0.000
W 0.500 0.500 0.500
Sb 0.000 0.000 0.500
Te 0.000 0.000 0.000
CELL_PARAMETERS angstrom
-3.465 2.168 4.100
3.929 -1.347 4.032
2.620 5.525 -0.707
```

Record 4
This record from the Alexandria database describes a relaxed Li2TlHg crystal. The functional is PBE. Values from VASP.

Output
As for the total moment: 0.00 μB/atom. For the energy of formation from the pure elements, the calculation gives -0.300 eV/atom. Its space group is Fm-3m (225).

The structure in Quantum ESPRESSO input format:
```
&SYSTEM
  ibrav = 0, nat = 4, ntyp = 3
/
ATOMIC_SPECIES
Hg 200.59 Hg.upf
Li 6.94 Li.upf
Tl 204.38 Tl.upf
ATOMIC_POSITIONS crystal
Hg 0.000 0.000 0.000
Li 0.750 0.750 0.750
Li 0.250 0.250 0.250
Tl 0.500 0.500 0.500
CELL_PARAMETERS angstrom
4.806 0.000 0.000
2.403 4.162 0.000
2.403 1.387 3.924
```

Record 5
This record from the Alexandria database describes a relaxed Pm2Er2Rh15 crystal. The functional is PBE. Values from VASP.

Output
As for the total moment: 0.00 μB/atom. For the energy of formation from the pure elements, the calculation gives -0.374 eV/atom. Its space group is R-3m (166).

The structure in Quantum ESPRESSO input format:
```
&SYSTEM
  ibrav = 0, nat = 19, ntyp = 3
/
ATOMIC_SPECIES
Rh 102.91 Rh.upf
Er 167.26 Er.upf
Pm 145.00 Pm.upf
ATOMIC_POSITIONS crystal
Rh 0.350 0.841 0.350
Rh 0.305 0.000 0.695
Rh 0.841 0.350 0.350
Rh 0.650 0.650 0.159
Rh 0.695 0.305 0.000
Rh 0.000 0.305 0.695
Rh 0.695 0.000 0.305
Rh 0.650 0.159 0.650
Rh 0.000 0.695 0.305
Rh 0.000 0.000 0.500
Rh 0.350 0.350 0.841
Rh 0.159 0.650 0.650
Rh 0.500 0.000 0.000
Rh 0.000 0.500 0.000
Rh 0.305 0.695 0.000
Er 0.109 0.109 0.109
Er 0.891 0.891 0.891
Pm 0.642 0.642 0.642
Pm 0.358 0.358 0.358
CELL_PARAMETERS angstrom
-1.957 6.537 -1.230
-6.784 -1.200 -0.781
-1.968 1.603 6.452
```

Record 6
This record from the Alexandria database describes a relaxed ZnRh2N crystal. The functional is PBE. Values from VASP.

Output
For the uncorrected formation energy, the calculation gives 0.89 eV per atom. As for the total moment: 0.00 μB/atom. The relative energy among the computed polymorphs comes out at 0.751 eV per atom. Its space group is Fm-3m (225).

The structure in Quantum ESPRESSO input format:
```
&SYSTEM
  ibrav = 0, nat = 4, ntyp = 3
/
ATOMIC_SPECIES
Rh 102.91 Rh.upf
Zn 65.41 Zn.upf
N 14.01 N.upf
ATOMIC_POSITIONS crystal
Rh 0.750 0.750 0.750
Rh 0.250 0.250 0.250
Zn 0.500 0.500 0.500
N 0.000 0.000 0.000
CELL_PARAMETERS angstrom
-2.327 -2.280 2.537
-4.066 -0.310 -0.649
-1.614 -3.563 -1.322
```

Record 7
This record from the Alexandria database describes a relaxed Li2Ac3In9 crystal. The functional is PBE. Values from VASP.

Output
As for the total moment: 0.00 μB/atom. For the energy of formation from the pure elements, the calculation gives -0.407 eV/atom. Its space group is Immm (71).

The structure in Quantum ESPRESSO input format:
```
&SYSTEM
  ibrav = 0, nat = 14, ntyp = 3
/
ATOMIC_SPECIES
In 114.82 In.upf
Li 6.94 Li.upf
Ac 227.00 Ac.upf
ATOMIC_POSITIONS crystal
In 0.339 0.028 0.294
In 0.133 0.144 0.589
In 0.000 0.500 0.500
In 0.339 0.294 0.028
In 0.661 0.706 0.972
In 0.133 0.589 0.144
In 0.661 0.972 0.706
In 0.867 0.856 0.411
In 0.867 0.411 0.856
Li 0.500 0.708 0.292
Li 0.500 0.292 0.708
Ac 0.000 0.000 0.000
Ac 0.688 0.312 0.312
Ac 0.312 0.688 0.688
CELL_PARAMETERS angstrom
-1.448 4.221 -1.967
-1.215 -1.838 -9.095
-9.190 -1.010 -1.446
```

Record 8
This record from the Alexandria database describes a relaxed HoThTe crystal. The functional is PBE. Values from VASP.

Output
For the uncorrected formation energy, the calculation gives -0.61 eV per atom. As for the total moment: 0.00 μB/atom. The relative energy among the computed polymorphs comes out at 0.023 eV per atom. Its space group is I4mm (107).

The structure in Quantum ESPRESSO input format:
```
&SYSTEM
  ibrav = 0, nat = 3, ntyp = 3
/
ATOMIC_SPECIES
Te 127.60 Te.upf
Ho 164.93 Ho.upf
Th 232.04 Th.upf
ATOMIC_POSITIONS crystal
Te 0.675 0.675 0.349
Ho 0.314 0.314 0.629
Th 0.011 0.011 0.022
CELL_PARAMETERS angstrom
3.847 0.000 0.000
0.000 3.847 0.000
-1.923 -1.923 6.151
```

- Which of these has the highest total moment?
  SbTeWI2

- What is the total moment in the third record?
  0.80 μB/atom